{
  "formula": "MnTl2AgF6",
  "functional": "PBE+U",
  "state": "optimized geometry",
  "lattice": [[-3.1137, 3.1284, 4.3488], [3.1137, -3.1284, 4.3488], [3.1137, 3.1284, -4.3488]],
  "species": ["Mn", "Tl", "Tl", "Ag", "F", "F", "F", "F", "F", "F"],
  "frac_coords": [[0.0000, 0.0000, 0.0000], [0.2491, 0.7491, 0.5000], [0.7509, 0.2509, 0.5000], [0.5000, 0.5000, 0.0000], [0.2189, 0.2189, 0.0000], [0.2303, 0.2318, 0.4621], [0.2303, 0.7682, 0.9986], [0.7697, 0.2318, 0.0014], [0.7697, 0.7682, 0.5379], [0.7811, 0.7811, 0.0000]],
  "total_energy_ev_per_atom": -4.570,
  "magnetic_moment_mub_per_atom": 0.400
}